# 1
Below is crystalline Li2TaP at its relaxed geometry, with properties calculated at the GGA-PBE level.

Cell lengths 3.598, 3.598, 4.458 Å; angles 90.00, 90.00, 90.00 degrees
Atoms (fractional coordinates):
Li: 0.000 0.500 0.000
Li: 0.500 0.000 0.000
Ta: 0.000 0.000 0.500
P: 0.500 0.500 0.500

DOS(E_F) ... 2.85 states/eV/cell
Energy of formation from the pure elements ... -187 meV per atom
Volume ... 57.72 Å³/f.u.

***

# 2
Below is crystalline Pm2InGePd6 at its relaxed geometry, with properties calculated at the GGA-PBE level.

Cell lengths 6.458, 6.458, 7.935 Å; angles 125.23, 125.23, 50.89 degrees
Atoms (fractional coordinates):
Pm: 0.001 0.001 0.253
Pm: 0.999 0.999 0.747
In: 0.500 0.500 0.000
Ge: 0.500 0.500 0.500
Pd: 0.014 0.506 0.204
Pd: 0.320 0.320 0.567
Pd: 0.494 0.986 0.796
Pd: 0.506 0.014 0.204
Pd: 0.680 0.680 0.433
Pd: 0.986 0.494 0.796

DOS(E_F) ... 4.75 states/eV/cell
Energy of formation from the pure elements ... -636 meV per atom
Volume ... 197.54 Å³/f.u.

***

# 3
Below is crystalline Pm12Dy7Mg at its relaxed geometry, with properties calculated at the GGA-PBE level.

Cell lengths 9.968, 9.968, 9.968 Å; angles 109.47, 109.47, 109.47 degrees
Atoms (fractional coordinates):
Pm: 0.001 0.247 0.753
Pm: 0.247 0.247 0.494
Pm: 0.247 0.494 0.247
Pm: 0.247 0.753 0.001
Pm: 0.247 0.999 0.753
Pm: 0.494 0.247 0.247
Pm: 0.506 0.753 0.753
Pm: 0.753 0.001 0.247
Pm: 0.753 0.247 0.999
Pm: 0.753 0.506 0.753
Pm: 0.753 0.753 0.506
Pm: 0.999 0.753 0.247
Dy: 0.000 0.000 0.500
Dy: 0.000 0.500 0.000
Dy: 0.000 0.500 0.500
Dy: 0.500 0.000 0.000
Dy: 0.500 0.000 0.500
Dy: 0.500 0.500 0.000
Dy: 0.500 0.500 0.500
Mg: 0.000 0.000 0.000

DOS(E_F) ... 25.73 states/eV/cell
Energy of formation from the pure elements ... 678 meV per atom
Volume ... 762.43 Å³/f.u.
Relative energy among the computed polymorphs ... 0.535 eV/atom

***

# 4
Below is crystalline Li2NdCd2In2 at its relaxed geometry, with properties calculated at the GGA-PBE level.

Cell lengths 5.000, 5.000, 7.763 Å; angles 103.50, 103.50, 58.09 degrees
Atoms (fractional coordinates):
Li: 0.131 0.131 0.433
Li: 0.869 0.869 0.567
Nd: 0.000 0.000 0.000
Cd: 0.282 0.282 0.799
Cd: 0.718 0.718 0.201
In: 0.409 0.409 0.281
In: 0.591 0.591 0.719

DOS(E_F) ... 2.32 states/eV/cell
Energy of formation from the pure elements ... -316 meV per atom
Volume ... 158.80 Å³/f.u.

***

# 5
Below is crystalline PrPu3Ru2 at its relaxed geometry, with properties calculated at the GGA-PBE level.

Cell lengths 8.468, 8.468, 7.589 Å; angles 104.99, 104.99, 28.30 degrees
Atoms (fractional coordinates):
Pr: 0.114 0.114 0.175
Pr: 0.886 0.886 0.825
Pu: 0.054 0.054 0.640
Pu: 0.299 0.299 0.080
Pu: 0.373 0.373 0.454
Pu: 0.627 0.627 0.546
Pu: 0.701 0.701 0.920
Pu: 0.946 0.946 0.360
Ru: 0.240 0.240 0.639
Ru: 0.463 0.463 0.138
Ru: 0.537 0.537 0.862
Ru: 0.760 0.760 0.361

DOS(E_F) ... 23.90 states/eV/cell
Energy of formation from the pure elements ... -13 meV per atom
Volume ... 124.32 Å³/f.u.
Relative energy among the computed polymorphs ... 0.051 eV/atom

***

# 6
Below is crystalline LiTa2Ir at its relaxed geometry, with properties calculated at the GGA-PBE level.

Cell lengths 5.039, 5.039, 2.810 Å; angles 97.05, 97.05, 113.69 degrees
Atoms (fractional coordinates):
Li: 0.000 0.000 0.000
Ta: 0.000 0.500 0.500
Ta: 0.500 0.000 0.500
Ir: 0.500 0.500 0.000

DOS(E_F) ... 2.56 states/eV/cell
Energy of formation from the pure elements ... -59 meV per atom
Volume ... 63.67 Å³/f.u.